No. 1
# SbTe2RuSe | Alexandria via LeMat-Bulk | PBE | relaxed
data_SbTe2RuSe
_cell_length_a 5.276
_cell_length_b 5.276
_cell_length_c 5.304
_cell_angle_alpha 90.00
_cell_angle_beta 90.00
_cell_angle_gamma 90.00
_symmetry_space_group_name_H-M 'P 4/m m m'
_symmetry_Int_Tables_number 123
_symmetry_space_group_name_Hall '-P 4 2'
loop_
_atom_site_label
_atom_site_fract_x
_atom_site_fract_y
_atom_site_fract_z
Sb1 0.000 0.000 0.000
Te1 0.000 0.500 0.500
Ru1 0.500 0.500 0.000
Se1 0.000 0.000 0.500
# Volume ... 147.7 Å³/f.u.
# Formation energy without anion corrections ... 1.268 eV per atom
# DFT total energy ... -16.8 eV for the cell shown


No. 2
# SbTeRuSe2 | Alexandria via LeMat-Bulk | PBE | relaxed
data_SbTeRuSe2
_cell_length_a 5.377
_cell_length_b 5.377
_cell_length_c 4.914
_cell_angle_alpha 90.00
_cell_angle_beta 90.00
_cell_angle_gamma 90.00
_symmetry_space_group_name_H-M 'P 4/m m m'
_symmetry_Int_Tables_number 123
_symmetry_space_group_name_Hall '-P 4 2'
loop_
_atom_site_label
_atom_site_fract_x
_atom_site_fract_y
_atom_site_fract_z
Sb1 0.000 0.000 0.000
Te1 0.500 0.500 0.500
Ru1 0.500 0.500 0.000
Se1 0.000 0.500 0.500
# Volume ... 142.1 Å³/f.u.
# Formation energy without anion corrections ... 0.986 eV per atom
# DFT total energy ... -18.6 eV for the cell shown


No. 3
# SbTeRu2Se | Alexandria via LeMat-Bulk | PBE | relaxed
data_SbTeRu2Se
_cell_length_a 4.873
_cell_length_b 4.873
_cell_length_c 5.422
_cell_angle_alpha 90.00
_cell_angle_beta 90.00
_cell_angle_gamma 90.00
_symmetry_space_group_name_H-M 'P 4/m m m'
_symmetry_Int_Tables_number 123
_symmetry_space_group_name_Hall '-P 4 2'
loop_
_atom_site_label
_atom_site_fract_x
_atom_site_fract_y
_atom_site_fract_z
Sb1 0.000 0.000 0.000
Te1 0.500 0.500 0.500
Ru1 0.000 0.500 0.500
Se1 0.500 0.500 0.000
# Volume ... 128.7 Å³/f.u.
# Formation energy without anion corrections ... 1.269 eV per atom
# DFT total energy ... -23.0 eV for the cell shown


> DFT total energy of number 1 (SbTe2RuSe)?

-16.8 eV for the cell shown